## La6MoO12 (PBE with a Hubbard U)

Data for La6MoO12 after structural relaxation.

```
data_La6MoO12
_space_group_name_H-M_alt 'R -3'
_space_group_IT_number 148
_space_group_name_Hall '-R 3'
_cell_length_a 10.3411
_cell_length_b 10.3411
_cell_length_c 9.9811
_cell_angle_alpha 90.00
_cell_angle_beta 90.00
_cell_angle_gamma 120.00
loop_
_atom_site_label
_atom_site_fract_x
_atom_site_fract_y
_atom_site_fract_z
La1 0.0472 0.7913 0.1482
Mo1 0.0000 0.0000 0.5000
O1 0.0367 0.8093 0.9042
O2 0.0394 0.8622 0.3930
```

Computed properties:
V	924.4	Å³ per cell
spin magnetization	0.00	μB per cell
DFT total energy	-155.882	eV per formula unit